Entry 1:
Material: TmSi2Ru2
Method: DFT, GGA-PBE
State: relaxed

```
5
Lattice="5.583 0.004 0.000 2.470 5.007 0.000 -4.026 -2.505 2.946" Properties=species:S:1:pos:R:3 pbc="T T T"
Ru 2.791 0.002 1.473
Ru 1.235 2.503 1.473
Tm 0.000 0.000 0.000
Si 5.074 3.157 0.000
Si 2.979 1.853 0.000
```

Space group   I4/mmm, No. 139
Formation energy without anion corrections   -4.54 eV per formula unit


Entry 2:
Material: CaOs2O
Method: DFT, GGA-PBE
State: relaxed

```
8
Lattice="4.880 0.000 0.000 0.000 4.880 0.000 2.440 2.440 6.631" Properties=species:S:1:pos:R:3 pbc="T T T"
O 2.440 4.880 3.316
Os 3.660 4.879 4.973
Os 2.439 3.660 1.658
Ca 4.880 2.440 3.316
Os 6.100 4.882 4.973
Ca 0.000 0.000 0.000
O 2.440 2.440 0.000
Os 2.441 1.220 1.658
```

Space group   I4_1/amd, No. 141
Formation energy without anion corrections   1.39 eV per formula unit


Entry 3:
Material: Cd2InSn2
Method: DFT, GGA-PBE
State: relaxed

```
10
Lattice="8.073 -0.099 0.327 -1.774 7.876 0.327 -2.552 -3.150 4.072" Properties=species:S:1:pos:R:3 pbc="T T T"
Cd 5.099 1.006 1.345
In 4.959 -1.490 3.381
Cd 1.069 4.269 1.345
Sn 2.251 1.615 0.263
Sn 1.497 3.012 4.464
In -1.212 6.117 1.345
Sn -0.164 0.962 2.299
Cd -1.351 3.621 3.381
Cd 2.678 0.358 3.381
Sn 3.911 3.665 2.428
```

Space group   C2/c, No. 15
Energy relative to the elements   0.074 eV per atom
ΔE to the lowest computed polymorph   15.4 meV/atom


Computed values of volume (unit: Å³/cell) for the preceding records, in sequence: 82 158 275.